Compound: Al2Ga4Ag
Source: Alexandria
Functional: PBE
Structure: optimized geometry

a b c (Å): 5.780 7.262 7.490
angles (deg): 88.70 67.83 68.40
Sites, in units of the cell vectors:
Al1 0.000 0.000 0.000
Al2 0.021 0.079 0.376
Al3 0.525 0.077 0.355
Al4 0.569 0.434 0.447
Ga1 0.004 0.365 0.092
Ga2 0.062 0.423 0.474
Ga3 0.474 0.181 0.725
Ga4 0.487 0.964 0.034
Ga5 0.500 0.803 0.593
Ga6 0.522 0.357 0.083
Ga7 0.957 0.863 0.667
Ga8 0.998 0.729 0.266
Ag1 0.253 0.593 0.855
Ag2 0.759 0.583 0.850

Computed properties:
Distance to the lowest polymorph of the same formula, kJ per mole of atoms: 0.0
Energy relative to the elements, eV per atom: 0.0788
Calculated volume, Å³/cell: 268.20

=====

Compound: HfMgBr2
Source: Alexandria
Functional: PBE
Structure: optimized geometry

a b c (Å): 7.251 7.251 7.251
angles (deg): 100.18 100.18 130.28
Sites, in units of the cell vectors:
Hf1 0.000 0.000 0.000
Hf2 0.750 0.250 0.500
Mg1 0.250 0.750 0.500
Mg2 0.500 0.500 0.000
Br1 0.375 0.240 0.365
Br2 0.760 0.125 0.135
Br3 0.875 0.010 0.635
Br4 0.990 0.625 0.865

Computed properties:
Distance to the lowest polymorph of the same formula, kJ per mole of atoms: 41.3
Formation energy without anion corrections, meV per atom: -182
Calculated volume, Å³/cell: 263.86

=====

Compound: NaHfCr2I
Source: Alexandria
Functional: PBE
Structure: optimized geometry

a b c (Å): 5.072 5.072 5.185
angles (deg): 90.00 90.00 90.00
Sites, in units of the cell vectors:
Na1 0.000 0.000 0.000
Hf1 0.500 0.500 0.000
Cr1 0.000 0.500 0.500
Cr2 0.500 0.000 0.500
I1 0.000 0.000 0.500

Computed properties:
Formation energy without anion corrections, meV per atom: 1457
Calculated volume, Å³/cell: 133.40

=====

Compound: KPrSiO4
Source: Alexandria
Functional: PBE
Structure: optimized geometry

a b c (Å): 5.854 5.670 7.423
angles (deg): 90.00 103.57 90.00
Sites, in units of the cell vectors:
K1 0.185 0.250 0.418
K2 0.815 0.750 0.582
Pr1 0.275 0.250 0.945
Pr2 0.725 0.750 0.055
Si1 0.255 0.750 0.171
Si2 0.745 0.250 0.829
O1 0.072 0.750 0.307
O2 0.094 0.750 0.954
O3 0.436 0.521 0.192
O4 0.436 0.979 0.192
O5 0.564 0.021 0.808
O6 0.564 0.479 0.808
O7 0.906 0.250 0.046
O8 0.928 0.250 0.693

Computed properties:
Formation energy without anion corrections, meV per atom: -2831
Calculated volume, Å³/cell: 239.48

=====

Compound: LiInSn2Cl6
Source: Alexandria
Functional: PBE
Structure: optimized geometry

a b c (Å): 7.083 7.085 8.057
angles (deg): 63.97 63.98 60.07
Sites, in units of the cell vectors:
Li1 0.000 0.000 0.000
In1 0.471 0.471 0.587
Sn1 0.193 0.195 0.418
Sn2 0.670 0.671 0.990
Cl1 0.026 0.394 0.780
Cl2 0.223 0.956 0.225
Cl3 0.394 0.801 0.779
Cl4 0.595 0.224 0.225
Cl5 0.799 0.027 0.780
Cl6 0.956 0.597 0.224

Computed properties:
Formation energy without anion corrections, meV per atom: -1097
Calculated volume, Å³/cell: 302.02

=====

Compound: BaCr2Se
Source: Alexandria
Functional: PBE
Structure: optimized geometry

a b c (Å): 4.177 4.177 6.235
angles (deg): 90.00 90.00 90.00
Sites, in units of the cell vectors:
Ba1 0.000 0.000 0.000
Cr1 0.000 0.500 0.479
Cr2 0.500 0.000 0.479
Se1 0.500 0.500 0.742

Computed properties:
Formation energy without anion corrections, meV per atom: 150
Calculated volume, Å³/cell: 108.81

=====

Compound: HoTmPb
Source: Alexandria
Functional: PBE
Structure: optimized geometry

a b c (Å): 7.321 7.321 7.321
angles (deg): 151.79 151.79 40.32
Sites, in units of the cell vectors:
Ho1 0.000 0.000 0.000
Tm1 0.324 0.324 0.000
Pb1 0.663 0.663 0.000

Computed properties:
Energy relative to the elements, eV per atom: -0.2966
Calculated volume, Å³/cell: 87.48

=====

Compound: CeB3Ru5
Source: Alexandria
Functional: PBE
Structure: optimized geometry

a b c (Å): 6.381 6.381 13.056
angles (deg): 90.00 90.00 153.23
Sites, in units of the cell vectors:
Ce1 0.157 0.843 0.750
Ce2 0.843 0.157 0.250
B1 0.151 0.849 0.250
B2 0.370 0.630 0.035
B3 0.370 0.630 0.465
B4 0.630 0.370 0.535
B5 0.630 0.370 0.965
B6 0.849 0.151 0.750
Ru1 0.000 0.000 0.000
Ru2 0.000 0.000 0.500
Ru3 0.207 0.793 0.080
Ru4 0.207 0.793 0.420
Ru5 0.447 0.553 0.659
Ru6 0.447 0.553 0.841
Ru7 0.553 0.447 0.159
Ru8 0.553 0.447 0.341
Ru9 0.793 0.207 0.580
Ru10 0.793 0.207 0.920

Computed properties:
Energy relative to the elements, eV per atom: -0.0713
Calculated volume, Å³/cell: 239.47

=====

We obtain mass density values of 5.46, 4.56, 5.38, 3.77, 3.14, 4.89, 10.27, 9.40 g/cm3 for the records listed above, in that order.
We obtain electronic total energy values of -3.127, -3.906, -4.957, -7.278, -3.471, -6.014, -4.549, -8.110 eV/atom for the records listed above, in that order.